Entry from the Alexandria database: Y6CuNi2 after structural relaxation (PBE-GGA).

Structure (extended XYZ):
```
18
Lattice="-3.891 -5.213 -5.148 8.233 -0.651 -0.782 -1.922 -1.832 7.859" Properties=species:S:1:pos:R:3 pbc="T T T"
Y 2.262 -4.845 3.072
Y 0.159 -2.852 -1.142
Y 0.295 -2.189 5.757
Y 2.125 -5.507 -3.828
Y 1.967 -5.771 -0.306
Y 0.453 -1.925 2.236
Y 3.682 -3.196 5.857
Y -1.262 -4.501 -3.927
Y -0.983 -5.074 1.448
Y 3.403 -2.622 0.481
Y 5.590 -3.483 2.934
Y -3.170 -4.214 -1.005
Cu 3.156 -1.242 3.539
Cu 0.000 0.000 0.000
Ni -0.495 -4.472 4.060
Ni 2.915 -3.225 -2.130
Ni -3.824 -4.635 1.784
Ni -1.989 -2.411 0.928
```

Space group = No. 71
Calculated total energy = -6.2909 eV per atom
ΔE_f = -0.2416 eV/atom